CuSb2Pt | PBE | relaxed

Properties
formation energy (no corrections)	0.10	eV per atom
size of the total moment	0.00	μB/cell
VASP energy	-4.494	eV per atom

Lattice parameters (Å, degrees): 5.8995 5.8995 5.8995 149.26 129.88 59.96
Element x y z (fractional)
Cu 0.5195 0.5195 0.0000
Pt 0.7365 0.2365 0.5000
Sb 0.9739 0.9739 0.0000
Sb 0.2701 0.7701 0.5000